{
  "formula": "CeSm5Ho6",
  "functional": "PBE",
  "state": "optimized geometry",
  "dft_energy_ev_per_cell": -56.6,
  "mass_density_kg_m3": 8108,
  "magmom_total_mub_per_atom": 0.0834,
  "n_ef_per_ev_atom": 1.50,
  "lattice_angstrom": [[4.859, 0.020, -1.417], [-1.375, 8.814, -4.590], [0.112, -0.792, 9.408]],
  "species": ["Ce", "Sm", "Sm", "Sm", "Sm", "Sm", "Ho", "Ho", "Ho", "Ho", "Ho", "Ho"],
  "fractional_positions": [[0.000, 0.000, 0.000], [0.666, 0.166, 0.331], [0.334, 0.333, 0.667], [0.000, 0.500, 0.000], [0.666, 0.667, 0.333], [0.334, 0.834, 0.669], [0.834, 0.586, 0.669], [0.834, 0.083, 0.669], [0.500, 0.753, 0.000], [0.500, 0.247, 0.000], [0.166, 0.917, 0.331], [0.166, 0.414, 0.331]]
}